1.
! Y2ZnCu2Pd5, relaxed, DFT PBE; values from VASP
&SYSTEM
  ibrav = 0, nat = 20, ntyp = 4
/
ATOMIC_SPECIES
Y 88.91 Y.upf
Zn 65.41 Zn.upf
Cu 63.55 Cu.upf
Pd 106.42 Pd.upf
ATOMIC_POSITIONS angstrom
Y 1.6476 3.0493 0.0000
Y 3.0493 7.7462 0.0000
Y 6.3446 1.6476 0.0000
Y 7.7462 6.3446 0.0000
Zn 0.0000 0.0000 0.0000
Zn 4.6969 4.6969 0.0000
Cu 1.1484 5.8454 0.0000
Cu 3.5485 1.1484 0.0000
Cu 5.8454 8.2454 0.0000
Cu 8.2454 3.5485 0.0000
Pd 0.0000 4.6969 1.9358
Pd 0.6470 7.4992 1.9358
Pd 1.8946 0.6470 1.9358
Pd 2.8023 5.3439 1.9358
Pd 4.0499 2.8023 1.9358
Pd 4.6969 0.0000 1.9358
Pd 5.3439 6.5915 1.9358
Pd 6.5915 4.0499 1.9358
Pd 7.4992 8.7469 1.9358
Pd 8.7469 1.8946 1.9358
CELL_PARAMETERS angstrom
9.3938 0.0000 0.0000
0.0000 9.3938 0.0000
0.0000 0.0000 3.8717
! * crystal system: tetragonal
! * energy: -109.2 eV per cell
! * density of states at the Fermi level: 6.558 states/eV/cell

---

2.
! SrMgSn4, relaxed, DFT PBE; values from VASP
&SYSTEM
  ibrav = 0, nat = 6, ntyp = 3
/
ATOMIC_SPECIES
Sr 87.62 Sr.upf
Mg 24.30 Mg.upf
Sn 118.71 Sn.upf
ATOMIC_POSITIONS angstrom
Sr 0.0000 0.0000 0.0000
Mg 2.6266 0.0000 2.7278
Sn 2.6266 3.8859 2.7278
Sn 2.6266 2.2077 0.0000
Sn 2.6266 -2.2077 0.0000
Sn 2.6266 -3.8859 2.7278
CELL_PARAMETERS angstrom
2.6266 -5.9432 0.0000
2.6266 5.9432 0.0000
0.0000 0.0000 5.4555
! * crystal system: orthorhombic
! * energy: -20.4 eV per cell
! * distance to the lowest polymorph of the same formula: 15.7 meV/atom
! * density of states at the Fermi level: 3.270 states/eV/cell

---

3.
! VSn, relaxed, DFT PBE; values from VASP
&SYSTEM
  ibrav = 0, nat = 4, ntyp = 2
/
ATOMIC_SPECIES
V 50.94 V.upf
Sn 118.71 Sn.upf
ATOMIC_POSITIONS angstrom
V 1.6221 0.0000 0.5550
V 4.7245 0.0000 4.4578
Sn 2.0959 0.0000 3.4813
Sn 4.2506 0.0000 1.5315
CELL_PARAMETERS angstrom
4.7925 -1.5875 0.0000
4.7925 1.5875 0.0000
-3.2386 0.0000 5.0128
! * crystal system: monoclinic
! * energy: -25.7 eV per cell
! * density of states at the Fermi level: 3.042 states/eV/cell

---

4.
! Li2Ca3Ge2Au4, relaxed, DFT PBE; values from VASP
&SYSTEM
  ibrav = 0, nat = 11, ntyp = 4
/
ATOMIC_SPECIES
Li 6.94 Li.upf
Ca 40.08 Ca.upf
Ge 72.64 Ge.upf
Au 196.97 Au.upf
ATOMIC_POSITIONS angstrom
Li 0.0000 0.0000 3.9460
Li 0.0000 0.0000 20.1623
Ca 0.0000 0.0000 7.4962
Ca 0.0000 0.0000 12.0541
Ca 0.0000 0.0000 16.6120
Ge 0.0000 0.0000 1.2441
Ge 0.0000 0.0000 22.8642
Au 2.3062 0.0000 2.5200
Au 2.3062 0.0000 9.5341
Au 0.0000 2.3062 2.5200
Au 0.0000 2.3062 9.5341
CELL_PARAMETERS angstrom
-2.3062 2.3062 12.0541
2.3062 -2.3062 12.0541
2.3062 2.3062 -12.0541
! * crystal system: tetragonal
! * energy: -37.1 eV per cell
! * density of states at the Fermi level: 2.488 states/eV/cell

---

5.
! AgSb2P, relaxed, DFT PBE; values from VASP
&SYSTEM
  ibrav = 0, nat = 4, ntyp = 3
/
ATOMIC_SPECIES
Ag 107.87 Ag.upf
Sb 121.76 Sb.upf
P 30.97 P.upf
ATOMIC_POSITIONS angstrom
Ag 0.0000 0.0000 0.0000
Sb 3.5584 3.5584 3.5584
Sb 5.3376 5.3376 5.3376
P 1.7792 1.7792 1.7792
CELL_PARAMETERS angstrom
0.0000 3.5584 3.5584
3.5584 0.0000 3.5584
3.5584 3.5584 0.0000
! * crystal system: cubic
! * energy: -14.6 eV per cell
! * formation energy from raw total energies: 0.47 eV/atom
! * density of states at the Fermi level: 2.587 states/eV/cell

---

6.
! NaZnB3H12, relaxed, DFT PBE; values from VASP
&SYSTEM
  ibrav = 0, nat = 68, ntyp = 4
/
ATOMIC_SPECIES
Na 22.99 Na.upf
Zn 65.41 Zn.upf
B 10.81 B.upf
H 1.01 H.upf
ATOMIC_POSITIONS angstrom
Na 0.3786 0.6140 6.2345
Na -1.5509 1.6117 15.2238
Na 5.8843 2.8397 2.7547
Na 3.9547 3.8374 11.7440
Zn 1.9113 0.6727 1.9207
Zn -0.0182 1.5530 10.9100
Zn 4.3516 2.8984 7.0686
Zn 2.4220 3.7787 16.0578
B 0.1031 0.2043 3.1395
B -1.8265 2.0214 12.1288
B -0.0018 0.6587 8.9162
B -1.9313 1.5671 17.9055
B 2.3307 2.5666 6.2076
B 0.4012 4.1106 15.1968
B 3.9322 0.3409 2.7817
B 2.0026 1.8848 11.7710
B 6.2647 2.8844 0.0730
B 4.3351 3.7928 9.0623
B 6.1598 2.4300 5.8498
B 4.2303 4.2471 14.8391
H -0.9166 2.6654 6.2603
H -2.8462 4.0118 15.2496
H -0.9229 0.2675 8.2367
H -2.8525 1.9582 17.2260
H -1.7678 2.6210 13.1804
H 0.1617 4.0561 4.1912
H -1.3109 2.8009 11.2906
H 0.6187 3.8763 2.3013
H -1.2455 0.9246 12.2476
H 0.6841 1.3011 3.2583
H 1.7156 0.3424 0.1063
H -0.2140 1.8833 9.0955
H 1.8584 2.2628 0.9720
H -0.0712 4.4143 9.9613
H 1.3738 2.9311 6.8581
H -0.5558 3.7460 15.8474
H 1.1191 0.5271 8.4801
H -0.8105 1.6987 17.4693
H 0.1659 0.2516 14.1686
H 2.0954 1.9741 5.1793
H 1.4083 2.7022 11.0230
H 3.3379 3.9750 2.0338
H 1.3338 0.8849 12.0935
H 3.2634 1.3408 3.1042
H 1.0700 3.1106 14.8743
H 2.9996 3.5665 5.8851
H 0.9955 0.4764 15.9448
H 2.9251 1.7493 6.9555
H 2.2379 2.4773 12.7993
H 4.1675 4.1999 3.8100
H 5.1439 2.7528 0.5092
H 3.2143 3.9244 9.4985
H 4.8891 0.7054 2.1312
H 2.9596 1.5203 11.1204
H 4.4046 0.0371 8.0173
H 2.4750 2.1886 17.0065
H 4.5473 2.5681 8.8830
H 2.6178 4.1090 17.8723
H 3.6493 3.1503 14.7203
H 5.5789 3.5269 5.7310
H 3.7147 0.5752 15.6772
H 5.6442 1.6506 6.6879
H 4.1716 0.3953 13.7874
H 6.1012 1.8304 4.7981
H 7.1859 2.4933 0.7525
H 5.2563 4.1839 9.7418
H 7.1796 0.4397 2.7290
H 5.2500 1.7861 11.7183
CELL_PARAMETERS angstrom
8.1925 0.0000 0.0000
0.0000 4.4514 0.0000
-3.8591 0.0000 17.9786
! * crystal system: monoclinic
! * energy: -263.1 eV per cell
! * distance to the lowest polymorph of the same formula: 0.0 meV/atom
! * density of states at the Fermi level: 0.000 states/eV/cell

---

7.
! Ag2OsO2F4, relaxed, DFT PBE; values from VASP
&SYSTEM
  ibrav = 0, nat = 9, ntyp = 4
/
ATOMIC_SPECIES
Ag 107.87 Ag.upf
Os 190.23 Os.upf
O 16.00 O.upf
F 19.00 F.upf
ATOMIC_POSITIONS angstrom
Ag 1.3733 0.0000 1.0881
Ag 6.6255 0.0000 3.4801
Os 4.8357 0.0000 0.0000
O 2.1581 0.0000 3.1194
O 5.8407 0.0000 1.4488
F 3.7503 1.5203 0.7317
F 4.2484 1.5203 3.8366
F 3.7503 -1.5203 0.7317
F 4.2484 -1.5203 3.8366
CELL_PARAMETERS angstrom
4.8357 -3.1181 0.0000
4.8357 3.1181 0.0000
-1.6726 0.0000 4.5683
! * crystal system: monoclinic
! * energy: -44.8 eV per cell
! * formation energy from raw total energies: -1.16 eV/atom

---

8.
! Pb5Au6, relaxed, DFT PBE; values from VASP
&SYSTEM
  ibrav = 0, nat = 11, ntyp = 2
/
ATOMIC_SPECIES
Pb 207.20 Pb.upf
Au 196.97 Au.upf
ATOMIC_POSITIONS angstrom
Pb 0.0000 0.0000 0.0000
Pb 2.2507 9.4908 1.9437
Pb 2.2507 3.7745 0.0000
Pb 2.2507 -3.7745 0.0000
Pb 2.2507 -9.4908 1.9437
Au 2.2507 12.5289 1.9437
Au 2.2507 6.8736 0.0000
Au 2.2507 1.3613 1.9437
Au 2.2507 -1.3613 1.9437
Au 2.2507 -6.8736 0.0000
Au 2.2507 -12.5289 1.9437
CELL_PARAMETERS angstrom
2.2507 -15.6333 0.0000
2.2507 15.6333 0.0000
0.0000 0.0000 3.8874
! * crystal system: orthorhombic
! * energy: -38.9 eV per cell
! * density of states at the Fermi level: 3.622 states/eV/cell

---

- Number 6 is which compound?
  NaZnB3H12